A geometry-optimized NpMnPb2O6 structure. Source: Alexandria via LeMat-Bulk, functional PBE+U.

Calculated values
Crystal system = monoclinic
Total moment = 12.00 Bohr magnetons per cell
Total energy = -7.6953 eV per atom

Unit cell a=5.881 b=5.954 c=10.260 alpha=90.00 beta=124.91 gamma=90.00
Sites, in units of the cell vectors:
Np (0.000, 0.000, 0.000)
Np (0.000, 0.500, 0.500)
Mn (0.500, 0.000, 0.500)
Mn (0.500, 0.500, 0.000)
Pb (0.253, 0.033, 0.753)
Pb (0.253, 0.467, 0.253)
Pb (0.747, 0.533, 0.747)
Pb (0.747, 0.967, 0.247)
O (0.168, 0.023, 0.245)
O (0.168, 0.477, 0.745)
O (0.238, 0.717, 0.040)
O (0.238, 0.783, 0.540)
O (0.322, 0.199, 0.033)
O (0.322, 0.301, 0.533)
O (0.678, 0.699, 0.467)
O (0.678, 0.801, 0.967)
O (0.762, 0.217, 0.460)
O (0.762, 0.283, 0.960)
O (0.832, 0.523, 0.255)
O (0.832, 0.977, 0.755)